[1]
Crystalline Rb2Pu2TaSe6 at its relaxed geometry, computed with PBE.

Summary:
Formation energy from raw total energies   -118.6 kJ per mole of atoms
M_tot   1.0001 μB/atom

Cell: 7.0129 7.0129 8.5559 Å, 98.34 98.34 119.44°
With the nearest neighbours (Å) after each atom.
Sites, in units of the cell vectors:
Rb  0.1723  0.8277  0.0000  6 Se 3.43-3.52
Rb  0.8277  0.1723  0.0000  6 Se 3.43-3.52
Pu  0.3329  0.6671  0.5000  6 Se 2.89-2.90
Pu  0.6671  0.3329  0.5000  6 Se 2.89-2.90
Ta  0.0000  0.0000  0.5000  6 Se 2.66
Se  0.0683  0.3741  0.6900  1 Ta 2.66, 2 Pu 2.89-2.90
Se  0.2404  0.2404  0.3115  1 Ta 2.66, 2 Pu 2.89
Se  0.3741  0.0683  0.6900  1 Ta 2.66, 2 Pu 2.89-2.90
Se  0.6259  0.9317  0.3100  1 Ta 2.66, 2 Pu 2.89-2.90
Se  0.7596  0.7596  0.6885  1 Ta 2.66, 2 Pu 2.89
Se  0.9317  0.6259  0.3100  1 Ta 2.66, 2 Pu 2.89-2.90

---

[2]
Crystalline Rb3Pu3TaSe8 at its relaxed geometry, computed with PBE.

Summary:
Formation energy from raw total energies   -126.5 kJ per mole of atoms
M_tot   1.0668 μB/atom

Cell: 8.2869 8.2918 9.4893 Å, 64.16 64.14 60.05°
With the nearest neighbours (Å) after each atom.
Sites, in units of the cell vectors:
Rb  0.0000  0.0000  0.0000  6 Se 3.44-3.46
Rb  0.0000  0.5000  0.0000  6 Se 3.43-3.46
Rb  0.5000  0.0000  0.0000  6 Se 3.43-3.45
Pu  0.0000  0.5000  0.5000  6 Se 2.90-2.93
Pu  0.5000  0.0000  0.5000  6 Se 2.90-2.92
Pu  0.5000  0.5000  0.5000  6 Se 2.90-2.92
Ta  0.0000  0.0000  0.5000  6 Se 2.66-2.67
Se  0.2152  0.2136  0.3147  1 Ta 2.67, 2 Pu 2.92-2.93
Se  0.2150  0.7569  0.3146  1 Ta 2.67, 2 Pu 2.92-2.93
Se  0.2435  0.7860  0.6846  1 Ta 2.66, 2 Pu 2.92
Se  0.2671  0.2667  0.6995  3 Pu 2.90
Se  0.7329  0.7333  0.3005  3 Pu 2.90
Se  0.7565  0.2140  0.3154  1 Ta 2.66, 2 Pu 2.92
Se  0.7850  0.2431  0.6854  1 Ta 2.67, 2 Pu 2.92-2.93
Se  0.7848  0.7864  0.6853  1 Ta 2.67, 2 Pu 2.92-2.93